# 1
U2ZnCo3Ge4, optimized geometry, DFT PBE; uncorrected energy = -6.649 eV/atom; Fermi-level density of states = 15.71 states/eV per cell; energy of formation from the pure elements = -0.286 eV/atom
1.0
4.0419 0.0000 0.0000
0.0000 4.0419 0.0000
0.0000 0.0000 9.8813
U Zn Co Ge
2 1 3 4
Cartesian
0.0000 2.0210 2.3906
2.0210 0.0000 7.4907
0.0000 0.0000 4.9406
0.0000 2.0210 8.6416
2.0210 0.0000 1.2396
2.0210 2.0210 4.9406
0.0000 0.0000 0.0000
0.0000 2.0210 6.3538
2.0210 0.0000 3.5275
2.0210 2.0210 0.0000

***

# 2
Tc2GeSe, optimized geometry, DFT PBE; formation energy without anion corrections = 572 meV per atom; uncorrected energy = -6.637 eV/atom; Fermi-level density of states = 0.24 states/eV per cell; energy relative to the lowest polymorph listed for this composition = 185 kJ/mol of formula units
1.0
-2.7850 2.7850 5.5106
2.7850 -2.7850 5.5106
2.7850 2.7850 -5.5106
Tc Ge Se
4 2 2
Cartesian
4.1776 1.3506 -1.3777
1.3506 1.3925 1.3777
-1.3925 1.4344 4.1330
1.4344 1.3925 6.8883
2.7850 0.0000 2.7553
0.0000 0.0000 5.5106
0.0000 0.0000 0.0000
0.0000 2.7850 2.7553

***

- Which of these has the lowest uncorrected energy?
  U2ZnCo3Ge4

***

- Number 2 is which compound?
  Tc2GeSe

***

Copy entry 1 word for word.
U2ZnCo3Ge4, optimized geometry, DFT PBE; uncorrected energy = -6.649 eV/atom; Fermi-level density of states = 15.71 states/eV per cell; energy of formation from the pure elements = -0.286 eV/atom
1.0
4.0419 0.0000 0.0000
0.0000 4.0419 0.0000
0.0000 0.0000 9.8813
U Zn Co Ge
2 1 3 4
Cartesian
0.0000 2.0210 2.3906
2.0210 0.0000 7.4907
0.0000 0.0000 4.9406
0.0000 2.0210 8.6416
2.0210 0.0000 1.2396
2.0210 2.0210 4.9406
0.0000 0.0000 0.0000
0.0000 2.0210 6.3538
2.0210 0.0000 3.5275
2.0210 2.0210 0.0000

***

- Which formula does entry 2 have?
  Tc2GeSe